1.
DFT (PBEsol) results for a relaxed structure of CuH3Se.

Values from the calculation:
Uncorrected energy   -14.60 eV/cell
ΔE to the lowest computed polymorph   0.0 meV/atom
Crystal system   cubic
Symmetry   No. 221

```
data_CuH3Se
_chemical_formula_sum 'Cu1 H3 Se1'
_cell_length_a 3.490
_cell_length_b 3.490
_cell_length_c 3.490
_cell_angle_alpha 90.00
_cell_angle_beta 90.00
_cell_angle_gamma 90.00
_space_group_name_H-M_alt 'P 1'
_space_group_IT_number 1
_space_group_name_Hall 'P 1'
loop_
_atom_site_label
_atom_site_type_symbol
_atom_site_fract_x
_atom_site_fract_y
_atom_site_fract_z
H1 H 0.500 0.000 0.000
H2 H 0.000 0.500 0.000
H3 H 0.000 0.000 0.500
Cu1 Cu 0.000 0.000 0.000
Se1 Se 0.500 0.500 0.500
```


2.
DFT (PBEsol) results for a relaxed structure of CuSiH2.

Values from the calculation:
Uncorrected energy   -29.14 eV/cell
Crystal system   tetragonal
Symmetry   No. 122

```
data_CuSiH2
_chemical_formula_sum 'Cu2 Si2 H4'
_cell_length_a 4.366
_cell_length_b 4.928
_cell_length_c 4.366
_cell_angle_alpha 63.71
_cell_angle_beta 90.00
_cell_angle_gamma 116.29
_space_group_name_H-M_alt 'P 1'
_space_group_IT_number 1
_space_group_name_Hall 'P 1'
loop_
_atom_site_label
_atom_site_type_symbol
_atom_site_fract_x
_atom_site_fract_y
_atom_site_fract_z
Si1 Si 0.250 0.500 0.250
Si2 Si 0.500 0.000 0.500
H1 H 0.693 0.750 0.375
H2 H 0.875 0.250 0.693
H3 H 0.375 0.250 0.057
H4 H 0.057 0.750 0.875
Cu1 Cu 0.000 0.000 0.000
Cu2 Cu 0.750 0.500 0.750
```


3.
DFT (PBEsol) results for a relaxed structure of SrCuH3.

Values from the calculation:
Uncorrected energy   -35.81 eV/cell
Crystal system   orthorhombic
Symmetry   No. 36

```
data_SrCuH3
_chemical_formula_sum 'Sr2 Cu2 H6'
_cell_length_a 4.484
_cell_length_b 4.887
_cell_length_c 5.924
_cell_angle_alpha 65.64
_cell_angle_beta 90.00
_cell_angle_gamma 90.00
_space_group_name_H-M_alt 'P 1'
_space_group_IT_number 1
_space_group_name_Hall 'P 1'
loop_
_atom_site_label
_atom_site_type_symbol
_atom_site_fract_x
_atom_site_fract_y
_atom_site_fract_z
H1 H 0.918 0.426 0.147
H2 H 0.841 0.392 0.690
H3 H 0.418 0.574 0.853
H4 H 0.341 0.608 0.310
H5 H 0.341 0.082 0.310
H6 H 0.841 0.918 0.690
Sr1 Sr 0.830 0.857 0.287
Sr2 Sr 0.330 0.143 0.713
Cu1 Cu 0.790 0.567 0.866
Cu2 Cu 0.290 0.433 0.134
```


4.
DFT (PBEsol) results for a relaxed structure of SrCuH3.

Values from the calculation:
Uncorrected energy   -17.84 eV/cell
Crystal system   cubic
Symmetry   No. 221

```
data_SrCuH3
_chemical_formula_sum 'Sr1 Cu1 H3'
_cell_length_a 3.698
_cell_length_b 3.698
_cell_length_c 3.698
_cell_angle_alpha 90.00
_cell_angle_beta 90.00
_cell_angle_gamma 90.00
_space_group_name_H-M_alt 'P 1'
_space_group_IT_number 1
_space_group_name_Hall 'P 1'
loop_
_atom_site_label
_atom_site_type_symbol
_atom_site_fract_x
_atom_site_fract_y
_atom_site_fract_z
Cu1 Cu 0.000 0.000 0.000
H1 H 0.000 0.500 0.000
H2 H 0.000 0.000 0.500
H3 H 0.500 0.000 0.000
Sr1 Sr 0.500 0.500 0.500
```


5.
DFT (PBEsol) results for a relaxed structure of Ta3CuH.

Values from the calculation:
Uncorrected energy   -44.91 eV/cell
Crystal system   cubic
Symmetry   No. 221

```
data_Ta3CuH
_chemical_formula_sum 'Ta3 Cu1 H1'
_cell_length_a 4.064
_cell_length_b 4.064
_cell_length_c 4.064
_cell_angle_alpha 90.00
_cell_angle_beta 90.00
_cell_angle_gamma 90.00
_space_group_name_H-M_alt 'P 1'
_space_group_IT_number 1
_space_group_name_Hall 'P 1'
loop_
_atom_site_label
_atom_site_type_symbol
_atom_site_fract_x
_atom_site_fract_y
_atom_site_fract_z
Ta1 Ta 0.500 0.000 0.000
Ta2 Ta 0.000 0.000 0.500
Ta3 Ta 0.000 0.500 0.000
Cu1 Cu 0.500 0.500 0.500
H1 H 0.000 0.000 0.000
```


6.
DFT (PBEsol) results for a relaxed structure of CuTcH3.

Values from the calculation:
Uncorrected energy   -23.49 eV/cell
Crystal system   cubic
Symmetry   No. 221

```
data_CuTcH3
_chemical_formula_sum 'Cu1 Tc1 H3'
_cell_length_a 3.361
_cell_length_b 3.361
_cell_length_c 3.361
_cell_angle_alpha 90.00
_cell_angle_beta 90.00
_cell_angle_gamma 90.00
_space_group_name_H-M_alt 'P 1'
_space_group_IT_number 1
_space_group_name_Hall 'P 1'
loop_
_atom_site_label
_atom_site_type_symbol
_atom_site_fract_x
_atom_site_fract_y
_atom_site_fract_z
H1 H 0.000 0.500 0.000
H2 H 0.500 0.000 0.000
H3 H 0.000 0.000 0.500
Tc1 Tc 0.000 0.000 0.000
Cu1 Cu 0.500 0.500 0.500
```


7.
DFT (PBEsol) results for a relaxed structure of CuTc2HW.

Values from the calculation:
Uncorrected energy   -30.74 eV/cell
Crystal system   tetragonal
Symmetry   No. 123

```
data_CuTc2HW
_chemical_formula_sum 'Cu1 Tc2 H1 W1'
_cell_length_a 4.392
_cell_length_b 4.392
_cell_length_c 4.430
_cell_angle_alpha 90.00
_cell_angle_beta 90.00
_cell_angle_gamma 90.00
_space_group_name_H-M_alt 'P 1'
_space_group_IT_number 1
_space_group_name_Hall 'P 1'
loop_
_atom_site_label
_atom_site_type_symbol
_atom_site_fract_x
_atom_site_fract_y
_atom_site_fract_z
H1 H 0.500 0.500 0.500
W1 W 0.000 0.000 0.500
Cu1 Cu 0.000 0.000 0.000
Tc1 Tc 0.500 0.000 0.000
Tc2 Tc 0.000 0.500 0.000
```


8.
DFT (PBEsol) results for a relaxed structure of ZrCuTc2H.

Values from the calculation:
Uncorrected energy   -32.48 eV/cell
Crystal system   tetragonal
Symmetry   No. 123

```
data_ZrCuTc2H
_chemical_formula_sum 'Zr1 Cu1 Tc2 H1'
_cell_length_a 3.317
_cell_length_b 4.747
_cell_length_c 4.747
_cell_angle_alpha 90.00
_cell_angle_beta 90.00
_cell_angle_gamma 90.00
_space_group_name_H-M_alt 'P 1'
_space_group_IT_number 1
_space_group_name_Hall 'P 1'
loop_
_atom_site_label
_atom_site_type_symbol
_atom_site_fract_x
_atom_site_fract_y
_atom_site_fract_z
Cu1 Cu 0.500 0.500 0.500
Tc1 Tc 0.000 0.000 0.500
Tc2 Tc 0.000 0.500 0.000
Zr1 Zr 0.000 0.000 0.000
H1 H 0.500 0.000 0.000
```


9.
DFT (PBEsol) results for a relaxed structure of CuTeH.

Values from the calculation:
Uncorrected energy   -22.38 eV/cell
Crystal system   triclinic
Symmetry   No. 2

```
data_CuTeH
_chemical_formula_sum 'Cu2 Te2 H2'
_cell_length_a 3.204
_cell_length_b 3.912
_cell_length_c 9.292
_cell_angle_alpha 101.86
_cell_angle_beta 99.33
_cell_angle_gamma 90.05
_space_group_name_H-M_alt 'P 1'
_space_group_IT_number 1
_space_group_name_Hall 'P 1'
loop_
_atom_site_label
_atom_site_type_symbol
_atom_site_fract_x
_atom_site_fract_y
_atom_site_fract_z
Cu1 Cu 0.737 0.736 0.973
Cu2 Cu 0.263 0.264 0.027
H1 H 0.035 0.498 0.462
H2 H 0.965 0.502 0.538
Te1 Te 0.649 0.145 0.786
Te2 Te 0.351 0.855 0.214
```


10.
DFT (PBEsol) results for a relaxed structure of CuTe2H.

Values from the calculation:
Uncorrected energy   -12.43 eV/cell
Crystal system   cubic
Symmetry   No. 225

```
data_CuTe2H
_chemical_formula_sum 'Cu1 Te2 H1'
_cell_length_a 4.591
_cell_length_b 4.591
_cell_length_c 4.591
_cell_angle_alpha 60.00
_cell_angle_beta 60.00
_cell_angle_gamma 60.00
_space_group_name_H-M_alt 'P 1'
_space_group_IT_number 1
_space_group_name_Hall 'P 1'
loop_
_atom_site_label
_atom_site_type_symbol
_atom_site_fract_x
_atom_site_fract_y
_atom_site_fract_z
Te1 Te 0.250 0.250 0.250
Te2 Te 0.750 0.750 0.750
H1 H 0.000 0.000 0.000
Cu1 Cu 0.500 0.500 0.500
```


11.
DFT (PBEsol) results for a relaxed structure of TiCuH2.

Values from the calculation:
Uncorrected energy   -19.22 eV/cell
Crystal system   cubic
Symmetry   No. 225

```
data_TiCuH2
_chemical_formula_sum 'Ti1 Cu1 H2'
_cell_length_a 3.564
_cell_length_b 3.564
_cell_length_c 3.564
_cell_angle_alpha 60.00
_cell_angle_beta 60.00
_cell_angle_gamma 60.00
_space_group_name_H-M_alt 'P 1'
_space_group_IT_number 1
_space_group_name_Hall 'P 1'
loop_
_atom_site_label
_atom_site_type_symbol
_atom_site_fract_x
_atom_site_fract_y
_atom_site_fract_z
Ti1 Ti 0.000 0.000 0.000
Cu1 Cu 0.500 0.500 0.500
H1 H 0.750 0.750 0.750
H2 H 0.250 0.250 0.250
```


12.
DFT (PBEsol) results for a relaxed structure of Ti3CuH.

Values from the calculation:
Uncorrected energy   -25.99 eV/cell
ΔE to the lowest computed polymorph   1488.6 meV/atom
Crystal system   cubic
Symmetry   No. 221

```
data_Ti3CuH
_chemical_formula_sum 'Ti3 Cu1 H1'
_cell_length_a 4.583
_cell_length_b 4.583
_cell_length_c 4.583
_cell_angle_alpha 90.00
_cell_angle_beta 90.00
_cell_angle_gamma 90.00
_space_group_name_H-M_alt 'P 1'
_space_group_IT_number 1
_space_group_name_Hall 'P 1'
loop_
_atom_site_label
_atom_site_type_symbol
_atom_site_fract_x
_atom_site_fract_y
_atom_site_fract_z
Ti1 Ti 0.000 0.500 0.000
Ti2 Ti 0.000 0.000 0.500
Ti3 Ti 0.500 0.000 0.000
H1 H 0.500 0.500 0.500
Cu1 Cu 0.000 0.000 0.000
```


13.
DFT (PBEsol) results for a relaxed structure of Ti3CuH.

Values from the calculation:
Uncorrected energy   -33.43 eV/cell
ΔE to the lowest computed polymorph   0.0 meV/atom
Crystal system   cubic
Symmetry   No. 221

```
data_Ti3CuH
_chemical_formula_sum 'Ti3 Cu1 H1'
_cell_length_a 3.958
_cell_length_b 3.958
_cell_length_c 3.958
_cell_angle_alpha 90.00
_cell_angle_beta 90.00
_cell_angle_gamma 90.00
_space_group_name_H-M_alt 'P 1'
_space_group_IT_number 1
_space_group_name_Hall 'P 1'
loop_
_atom_site_label
_atom_site_type_symbol
_atom_site_fract_x
_atom_site_fract_y
_atom_site_fract_z
Ti1 Ti 0.000 0.000 0.500
Ti2 Ti 0.000 0.500 0.000
Ti3 Ti 0.500 0.000 0.000
H1 H 0.000 0.000 0.000
Cu1 Cu 0.500 0.500 0.500
```